# 1
# ThZr2Ru

A relaxed ThZr2Ru crystal (PBE, Alexandria via LeMat-Bulk).

Properties
* crystal system: tetragonal
* total energy: -34.743 eV per formula unit
* E above lowest polymorph: 0.032 eV/f.u.
* total moment: 0.0 Bohr magnetons per cell
* formation enthalpy at 0 K: -0.238 eV/atom

a b c (Å): 3.329 3.329 8.100
angles (deg): 90.00 90.00 90.00
Space group P4/mmm (No. 123)
Symmetry-distinct sites (fractional):
Th1 0.000 0.000 0.000 (multiplicity 1)
Zr1 0.500 0.500 0.304 (multiplicity 2)
Ru1 0.000 0.000 0.500 (multiplicity 1)



# 2
# Th2ZrRu

A relaxed Th2ZrRu crystal (PBE, Alexandria via LeMat-Bulk).

Properties
* crystal system: trigonal
* total energy: -31.409 eV per formula unit
* total moment: 1.6 Bohr magnetons per cell
* formation enthalpy at 0 K: 0.314 eV/atom

a b c (Å): 3.6635 3.6635 29.5187
angles (deg): 90.00 90.00 120.00
Space group R-3m (No. 166, hexagonal axes)
Symmetry-distinct sites (fractional):
Th1 0.0000 0.0000 0.1049 (multiplicity 6)
Zr1 0.0000 0.0000 0.0000 (multiplicity 3)
Ru1 0.0000 0.0000 0.5000 (multiplicity 3)